16
Lattice="4.707 0.000 0.000 2.353 6.712 0.000 2.353 0.000 6.712" Properties=species:S:1:pos:R:3 comment="Tc3P | Alexandria via LeMat-Bulk | SCAN | single point on PBEsol structure" m_tot_mub_per_fu=0.000 e_form_ev_per_atom=-0.37 space_group="I-4 (82)" dos_ef_per_ev_fu=3.1 energy_ev_per_atom=-29.26 pbc="T T T"
Tc 5.834 2.663 6.430
Tc 3.361 5.407 0.118
Tc 5.933 6.430 4.049
Tc 7.122 4.519 2.532
Tc 3.699 0.118 1.305
Tc 4.645 4.180 4.519
Tc 8.406 6.593 5.407
Tc 2.415 2.193 4.180
Tc 1.226 0.282 2.663
Tc 5.834 4.049 0.282
Tc 3.361 1.305 6.593
Tc 4.645 2.532 2.193
P 4.727 4.980 2.183
P 4.727 1.732 4.529
P 2.333 2.183 1.732
P 7.040 4.529 4.980


8
Lattice="-1.828 -4.007 -5.176 5.532 3.544 -1.739 5.089 -4.263 -1.454" Properties=species:S:1:pos:R:3 comment="PI2Cl | Alexandria via LeMat-Bulk | SCAN | single point on PBEsol structure" m_tot_mub_per_fu=0.000 space_group="I-42d (122)" dos_ef_per_ev_fu=0.5 energy_ev_per_atom=-22.61 pbc="T T T"
I 1.126 -5.176 -5.748
I 7.557 -1.502 -2.549
I 4.531 -3.363 -4.503
I 4.373 0.588 -3.938
P 5.311 -0.360 -1.596
P 7.052 -2.543 -4.983
Cl 1.742 -2.183 -3.386
Cl 0.000 0.000 0.000


5
Lattice="-0.913 4.837 -0.910 -4.485 -0.437 2.181 2.028 1.213 4.413" Properties=species:S:1:pos:R:3 comment="SrLi3Zn | Alexandria via LeMat-Bulk | SCAN | single point on PBEsol structure" m_tot_mub_per_fu=0.340 e_form_ev_per_atom=0.00 space_group="Pm-3m (221)" dos_ef_per_ev_fu=3.4 energy_ev_per_atom=-8.59 pbc="T T T"
Li -0.457 2.419 -0.455
Li 1.014 0.606 2.207
Li -2.242 -0.218 1.090
Sr -1.685 2.807 2.842
Zn 0.000 0.000 0.000


4
Lattice="-1.236 1.923 1.406 1.499 -1.354 3.170 4.356 3.282 -0.657" Properties=species:S:1:pos:R:3 comment="CrIrPt2 | Alexandria via LeMat-Bulk | SCAN | single point on PBEsol structure" m_tot_mub_per_fu=1.621 e_form_ev_per_atom=-0.22 space_group="Pmm2 (25)" dos_ef_per_ev_fu=3.2 energy_ev_per_atom=-57.69 pbc="T T T"
Pt 4.328 3.260 -0.653
Pt 1.266 1.139 2.117
Cr 2.239 1.687 -0.338
Ir 3.320 2.687 1.807


5
Lattice="4.498 0.000 0.000 0.000 5.461 0.000 0.000 0.000 5.461" Properties=species:S:1:pos:R:3 comment="KLaSe2N | Alexandria via LeMat-Bulk | SCAN | single point on PBEsol structure" m_tot_mub_per_fu=2.977 space_group="P4/mmm (123)" dos_ef_per_ev_fu=1.2 energy_ev_per_atom=-20.04 pbc="T T T"
Se 0.000 0.000 2.730
Se 0.000 2.730 0.000
N 2.249 0.000 0.000
K 0.000 0.000 0.000
La 2.249 2.730 2.730


3
Lattice="4.611 0.000 0.000 2.306 3.993 0.000 2.306 1.331 3.765" Properties=species:S:1:pos:R:3 comment="LaCoSi | Alexandria via LeMat-Bulk | SCAN | single point on PBEsol structure" m_tot_mub_per_fu=1.642 space_group="F-43m (216)" dos_ef_per_ev_fu=2.1 energy_ev_per_atom=-22.83 pbc="T T T"
La 2.306 1.331 0.941
Si 0.000 0.000 0.000
Co 4.611 2.662 1.883


10
Lattice="8.362 0.000 0.000 4.181 7.241 0.000 4.181 2.414 6.827" Properties=species:S:1:pos:R:3 comment="Rb2YAgI6 | Alexandria via LeMat-Bulk | SCAN | single point on PBEsol structure" m_tot_mub_per_fu=0.000 space_group="Fm-3m (225)" dos_ef_per_ev_fu=0.0 energy_ev_per_atom=-33.42 pbc="T T T"
I 8.362 7.257 5.132
I 6.258 3.613 5.132
I 10.466 6.042 1.696
I 8.362 2.398 1.696
I 10.466 3.613 5.132
I 6.258 6.042 1.696
Rb 12.543 7.241 5.120
Rb 4.181 2.414 1.707
Ag 0.000 0.000 0.000
Y 8.362 4.828 3.414


4
Lattice="-1.953 -3.370 0.080 3.045 -1.725 1.711 -2.034 3.495 2.709" Properties=species:S:1:pos:R:3 comment="TlFe2Ag | Alexandria via LeMat-Bulk | SCAN | single point on PBEsol structure" m_tot_mub_per_fu=5.568 e_form_ev_per_atom=0.42 space_group="I4/mmm (139)" dos_ef_per_ev_fu=2.7 energy_ev_per_atom=-34.58 pbc="T T T"
Tl 0.546 -2.547 0.895
Fe 0.779 -0.389 2.658
Fe -1.721 -1.211 1.842
Ag 0.000 0.000 0.000


4
Lattice="2.919 -0.006 0.000 -0.800 2.807 0.000 0.000 0.000 8.960" Properties=species:S:1:pos:R:3 comment="Ta2ZnSe | Alexandria via LeMat-Bulk | SCAN | single point on PBEsol structure" m_tot_mub_per_fu=0.000 space_group="Cmm2 (35)" dos_ef_per_ev_fu=2.0 energy_ev_per_atom=-41.67 pbc="T T T"
Se 1.060 1.401 1.913
Zn 0.000 0.000 4.782
Ta 0.000 0.000 8.930
Ta 1.060 1.401 6.774


4
Lattice="4.135 0.000 0.000 -2.067 3.572 -0.091 0.000 -1.778 6.814" Properties=species:S:1:pos:R:3 comment="HgSbSe2 | Alexandria via LeMat-Bulk | SCAN | single point on PBEsol structure" m_tot_mub_per_fu=0.000 space_group="C2/m (12)" dos_ef_per_ev_fu=1.5 energy_ev_per_atom=-36.53 pbc="T T T"
Sb 2.067 0.000 0.000
Se 2.067 0.562 5.127
Se 0.000 1.232 1.596
Hg 0.000 -0.889 3.407


5
Lattice="3.649 0.000 0.000 0.000 5.919 0.000 0.000 0.000 5.919" Properties=species:S:1:pos:R:3 comment="RbLiTe2N | Alexandria via LeMat-Bulk | SCAN | single point on PBEsol structure" m_tot_mub_per_fu=1.465 space_group="P4/mmm (123)" dos_ef_per_ev_fu=3.3 energy_ev_per_atom=-20.99 pbc="T T T"
Rb 1.824 2.960 2.960
N 1.824 0.000 0.000
Te 0.000 0.000 2.960
Te 0.000 2.960 0.000
Li 0.000 0.000 0.000


32
Lattice="-3.210 1.560 -4.735 1.886 -5.584 -0.646 -8.020 -3.215 4.378" Properties=species:S:1:pos:R:3 comment="BeSiNi6 | Alexandria via LeMat-Bulk | SCAN | single point on PBEsol structure" m_tot_mub_per_fu=1.996 space_group="Cmmm (65)" dos_ef_per_ev_fu=3.9 energy_ev_per_atom=-14.26 pbc="T T T"
Ni -2.693 -3.098 0.795
Ni -8.663 -4.933 -0.705
Ni -0.662 -2.012 -2.690
Ni -1.339 -4.308 -2.974
Ni -3.911 -1.029 -2.626
Ni -1.963 -0.509 -1.327
Ni -5.990 -2.135 0.886
Ni -4.621 -3.328 -2.905
Ni -3.354 -5.104 -1.889
Ni -0.681 -2.307 -0.298
Ni -4.672 -3.620 -0.501
Ni -6.650 -4.142 -1.797
Ni -7.968 -2.656 -0.411
Ni -5.383 -5.918 -0.781
Ni -1.375 -4.584 -0.592
Ni -2.622 -2.511 -4.003
Ni -8.004 -2.931 1.971
Ni -6.722 -4.729 3.000
Ni -4.723 -3.911 1.903
Ni -5.433 -6.210 1.623
Ni 0.000 0.000 0.000
Ni -4.010 -1.608 2.189
Ni -3.960 -1.321 -0.222
Ni -7.381 -6.730 0.324
Si -1.975 -0.792 1.078
Si -6.045 -2.424 3.300
Si -5.937 -1.846 -1.516
Si -3.407 -5.393 0.514
Be -2.637 -2.804 -1.612
Be 0.605 -3.788 -1.674
Be -6.707 -4.436 0.610
Be -1.929 -0.237 -3.707